P.
A plane-wave DFT calculation with meta-GGA SCAN was carried out for a crystal of RbCa2Sb2 relaxed with PBEsol.

Results
As for the total magnetization: 0.146 μB/atom. Its crystal system is tetragonal. For the density of states at the Fermi level, the calculation gives 2.27 states/eV/cell. As for the space group: I4/mmm, No. 139. The calculated density is 3.704 g/cm3.

Unit cell a=5.315 b=5.315 c=7.503 alpha=110.74 beta=110.74 gamma=90.00
Last column: magnetic moment on the atom in μB.
Fractional coordinates of all 5 atoms:
Ca 0.250 0.750 0.500  0.04
Ca 0.750 0.250 0.500  0.04
Rb 0.000 0.000 0.000  0.01
Sb 0.379 0.379 0.758  0.07
Sb 0.621 0.621 0.242  0.07

***

Q.
A plane-wave DFT calculation with meta-GGA SCAN was carried out for a crystal of RbCa2Sb2 relaxed with PBEsol.

Results
As for the total magnetization: 0.000 μB/atom. Its crystal system is tetragonal. For the density of states at the Fermi level, the calculation gives 1.98 states/eV/cell. As for the space group: P4/mbm, No. 127. The calculated density is 4.412 g/cm3.

Unit cell a=3.604 b=9.244 c=9.244 alpha=90.00 beta=90.00 gamma=90.00
Fractional coordinates of all 10 atoms:
Ca 0.000 0.131 0.369
Ca 0.000 0.369 0.869
Ca 0.000 0.869 0.631
Ca 0.000 0.631 0.131
Sb 0.500 0.165 0.665
Sb 0.500 0.835 0.335
Sb 0.500 0.335 0.165
Sb 0.500 0.665 0.835
Rb 0.000 0.500 0.500
Rb 0.000 0.000 0.000

***

The most stable of them is Q.

***

P.
A plane-wave DFT calculation with meta-GGA SCAN was carried out for a crystal of CaRe3 relaxed with PBEsol.

Results
As for the total magnetization: 0.000 μB/atom. Its crystal system is monoclinic. For the density of states at the Fermi level, the calculation gives 2.40 states/eV/cell. As for the space group: P2/m, No. 10. The calculated density is 15.499 g/cm3.

Unit cell a=2.688 b=4.528 c=5.333 alpha=90.00 beta=98.83 gamma=90.00
Fractional coordinates of all 4 atoms:
Re 0.727 0.500 0.258
Re 0.273 0.500 0.742
Re 0.500 0.000 0.500
Ca 0.000 0.000 0.000

***

Q.
A plane-wave DFT calculation with meta-GGA SCAN was carried out for a crystal of CaRe3 relaxed with PBEsol.

Results
As for the total magnetization: 0.000 μB/atom. Its crystal system is hexagonal. For the density of states at the Fermi level, the calculation gives 5.40 states/eV/cell. As for the space group: P-6m2, No. 187. The calculated density is 15.115 g/cm3.

Unit cell a=2.806 b=2.806 c=9.647 alpha=90.00 beta=90.00 gamma=120.00
Fractional coordinates of all 4 atoms:
Re 0.000 0.000 0.500
Re 0.333 0.667 0.276
Re 0.333 0.667 0.724
Ca 0.000 0.000 0.000

***

The most stable of them is P.

***

P.
A plane-wave DFT calculation with meta-GGA SCAN was carried out for a crystal of Ca3Re relaxed with PBEsol.

Results
As for the total magnetization: 0.000 μB/atom. Its crystal system is cubic. For the density of states at the Fermi level, the calculation gives 4.11 states/eV/cell. As for the space group: Pm-3m, No. 221. The calculated density is 5.059 g/cm3.

Unit cell a=4.651 b=4.651 c=4.651 alpha=90.00 beta=90.00 gamma=90.00
Fractional coordinates of all 4 atoms:
Ca 0.000 0.500 0.500
Ca 0.500 0.000 0.500
Ca 0.500 0.500 0.000
Re 0.000 0.000 0.000

***

Q.
A plane-wave DFT calculation with meta-GGA SCAN was carried out for a crystal of Ca3Re relaxed with PBEsol.

Results
As for the total magnetization: 0.181 μB/atom. Its crystal system is trigonal. For the density of states at the Fermi level, the calculation gives 3.65 states/eV/cell. As for the space group: R-3m, No. 166. The calculated density is 4.647 g/cm3.

Unit cell a=3.374 b=3.374 c=11.277 alpha=81.40 beta=81.40 gamma=60.00
Last column: magnetic moment on the atom in μB.
Fractional coordinates of all 4 atoms:
Ca 0.733 0.733 0.802  0.01
Ca 0.500 0.500 0.500  0.00
Ca 0.267 0.267 0.198  0.01
Re 0.000 0.000 0.000  0.53

***

The most stable of them is Q.

***

P.
A plane-wave DFT calculation with meta-GGA SCAN was carried out for a crystal of CaReRh relaxed with PBEsol.

Results
As for the total magnetization: 0.000 μB/atom. Its crystal system is trigonal. For the density of states at the Fermi level, the calculation gives 4.01 states/eV/cell. As for the space group: P3m1, No. 156. The calculated density is 10.814 g/cm3.

Unit cell a=2.871 b=2.871 c=7.081 alpha=90.00 beta=90.00 gamma=120.00
Fractional coordinates of all 3 atoms:
Ca 0.000 0.000 0.005
Re 0.333 0.667 0.640
Rh 0.667 0.333 0.355

***

Q.
A plane-wave DFT calculation with meta-GGA SCAN was carried out for a crystal of CaReRh relaxed with PBEsol.

Results
As for the total magnetization: 0.000 μB/atom. Its crystal system is tetragonal. For the density of states at the Fermi level, the calculation gives 2.65 states/eV/cell. As for the space group: I4mm, No. 107. The calculated density is 10.186 g/cm3.

Unit cell a=2.939 b=2.939 c=6.550 alpha=102.97 beta=102.97 gamma=90.00
Fractional coordinates of all 3 atoms:
Rh 0.691 0.691 0.381
Re 0.308 0.308 0.615
Ca 0.002 0.002 0.004

***

The most stable of them is Q.

***

P.
A plane-wave DFT calculation with meta-GGA SCAN was carried out for a crystal of Ca2ReRu relaxed with PBEsol.

Results
As for the total magnetization: 0.000 μB/atom. Its crystal system is monoclinic. For the density of states at the Fermi level, the calculation gives 3.23 states/eV/cell. As for the space group: C2/m, No. 12. The calculated density is 8.311 g/cm3.

Unit cell a=2.941 b=5.265 c=5.424 alpha=60.96 beta=89.37 gamma=88.71
Fractional coordinates of all 4 atoms:
Ca 0.000 0.000 0.500
Ca 0.000 0.500 0.500
Ru 0.500 0.500 0.000
Re 0.500 0.000 0.000

***

Q.
A plane-wave DFT calculation with meta-GGA SCAN was carried out for a crystal of Ca2ReRu relaxed with PBEsol.

Results
As for the total magnetization: 0.000 μB/atom. Its crystal system is monoclinic. For the density of states at the Fermi level, the calculation gives 2.52 states/eV/cell. As for the space group: P2/m, No. 10. The calculated density is 8.355 g/cm3.

Unit cell a=2.925 b=4.758 c=5.285 alpha=90.00 beta=96.88 gamma=90.00
Fractional coordinates of all 4 atoms:
Ca 0.962 0.000 0.746
Ca 0.038 0.000 0.254
Re 0.500 0.500 0.000
Ru 0.500 0.500 0.500

***

The most stable of them is Q.